VASP calculation (PBE-GGA) on a relaxed structure of K5Tl6In.

Lattice parameters (Å, degrees): 6.7527 6.7527 11.5035 95.92 95.92 120.73
Sites, in units of the cell vectors:
K1 0.0000 0.0000 0.0000
K2 0.1660 0.8340 0.5000
K3 0.3264 0.6736 0.0000
K4 0.6736 0.3264 0.0000
K5 0.8340 0.1660 0.5000
Tl1 0.1292 0.4229 0.2633
Tl2 0.2812 0.2812 0.7405
Tl3 0.4229 0.1292 0.2633
Tl4 0.5771 0.8708 0.7367
Tl5 0.7188 0.7188 0.2595
Tl6 0.8708 0.5771 0.7367
In1 0.5000 0.5000 0.5000

Calculated values
- DOS(E_F): 5.9 states/eV/cell
- V: 36.75 Å³ per atom
- SG: C2/m
- Energy: -22.467 eV/cell